No. 1
Density functional theory data (PBE) for a relaxed structure of MgCuTc2.

a b c (Å): 3.6496 3.6496 4.3942
angles (deg): 90.00 90.00 90.00
Last column: nearest neighbours and their distance in Å.
Sites, in units of the cell vectors:
Mg1 0.0000 0.0000 0.0000  4 Cu 2.58, 8 Tc 2.86
Cu1 0.5000 0.5000 0.0000  4 Mg 2.58, 8 Tc 2.86
Tc1 0.0000 0.5000 0.5000  4 Tc 2.58, 4 Mg 2.86, 4 Cu 2.86
Tc2 0.5000 0.0000 0.5000  4 Tc 2.58, 4 Mg 2.86, 4 Cu 2.86

Output
space-group type = P4/mmm, No. 123
D(E_F) = 0.79 states/eV/atom
energy of formation from the pure elements = 22.10 kJ/mol of atoms


No. 2
Density functional theory data (PBE) for a relaxed structure of Co2CuPb2.

a b c (Å): 6.6169 6.6169 4.0099
angles (deg): 90.00 90.00 90.00
Last column: nearest neighbours and their distance in Å.
Sites, in units of the cell vectors:
Co1 0.1269 0.3731 0.0000  1 Co 2.37, 2 Cu 2.61
Co2 0.3731 0.8731 0.0000  1 Co 2.37, 2 Cu 2.61
Co3 0.6269 0.1269 0.0000  1 Co 2.37, 2 Cu 2.61
Co4 0.8731 0.6269 0.0000  1 Co 2.37, 2 Cu 2.61
Cu1 0.0000 0.0000 0.0000  4 Co 2.61
Cu2 0.5000 0.5000 0.0000  4 Co 2.61
Pb1 0.1772 0.6772 0.5000  6 Co 2.72-2.86
Pb2 0.3228 0.1772 0.5000  6 Co 2.72-2.86
Pb3 0.6772 0.8228 0.5000  6 Co 2.72-2.86
Pb4 0.8228 0.3228 0.5000  6 Co 2.72-2.86

Output
space-group type = P4/mbm, No. 127
D(E_F) = 0.76 states/eV/atom
energy of formation from the pure elements = 39.65 kJ/mol of atoms


No. 3
Density functional theory data (PBE) for a relaxed structure of MgV.

a b c (Å): 2.7990 14.3302 5.1642
angles (deg): 90.00 90.00 90.00
Last column: nearest neighbours and their distance in Å.
Sites, in units of the cell vectors:
Mg1 0.0000 0.0000 0.0000  4 Mg 2.80-2.81, 8 V 2.82-3.05
Mg2 0.0000 0.1705 0.7297  3 Mg 2.80-2.81, 8 V 2.87-3.11
Mg3 0.0000 0.3295 0.2297  3 Mg 2.80-2.81, 8 V 2.87-3.11
Mg4 0.0000 0.5000 0.5000  4 Mg 2.80-2.81, 8 V 2.82-3.05
Mg5 0.0000 0.6705 0.2297  3 Mg 2.80-2.81, 8 V 2.87-3.11
Mg6 0.0000 0.8295 0.7297  3 Mg 2.80-2.81, 8 V 2.87-3.11
V1 0.5000 0.0000 0.4745  2 V 2.46
V2 0.5000 0.1514 0.2482  1 V 2.46
V3 0.5000 0.3486 0.7482  1 V 2.46
V4 0.5000 0.5000 0.9745  2 V 2.46
V5 0.5000 0.6514 0.7482  1 V 2.46
V6 0.5000 0.8486 0.2482  1 V 2.46

Output
space-group type = Amm2, No. 38
D(E_F) = 1.06 states/eV/atom
energy of formation from the pure elements = 47.03 kJ/mol of atoms


No. 4
Density functional theory data (PBE) for a relaxed structure of Ce3NpPa2As6.

a b c (Å): 9.3034 9.3034 8.3148
angles (deg): 103.17 103.17 25.80
Last column: nearest neighbours and their distance in Å.
Sites, in units of the cell vectors:
Ce1 0.0000 0.0000 0.0000  6 As 2.97-2.98
Ce2 0.3339 0.3339 0.6665  6 As 2.97-2.98
Ce3 0.6661 0.6661 0.3335  6 As 2.97-2.98
Np1 0.0000 0.0000 0.5000  6 As 2.91-2.92
Pa1 0.3338 0.3338 0.1680  6 As 2.89-2.91
Pa2 0.6662 0.6662 0.8320  6 As 2.89-2.91
As1 0.1655 0.1655 0.5889  2 Pa 2.90, 1 Np 2.92, 3 Ce 2.97
As2 0.1687 0.1687 0.0778  3 Pa 2.91, 3 Ce 2.98
As3 0.4976 0.4976 0.2535  1 Pa 2.89, 2 Np 2.91, 3 Ce 2.97
As4 0.5024 0.5024 0.7465  1 Pa 2.89, 2 Np 2.91, 3 Ce 2.97
As5 0.8313 0.8313 0.9222  3 Pa 2.91, 3 Ce 2.98
As6 0.8345 0.8345 0.4111  2 Pa 2.90, 1 Np 2.92, 3 Ce 2.97

Output
space-group type = C2/m, No. 12
D(E_F) = 2.39 states/eV/atom
energy of formation from the pure elements = -113.80 kJ/mol of atoms


No. 5
Density functional theory data (PBE) for a relaxed structure of LiErScS3.

a b c (Å): 7.6748 3.6964 8.1852
angles (deg): 90.00 103.81 90.00
Last column: nearest neighbours and their distance in Å.
Sites, in units of the cell vectors:
Li1 0.0926 0.2500 0.0881  4 S 2.32-2.40, 2 Li 2.56
Li2 0.9074 0.7500 0.9119  4 S 2.32-2.40, 2 Li 2.56
Er1 0.1926 0.2500 0.7267  7 S 2.72-2.86
Er2 0.8074 0.7500 0.2733  7 S 2.72-2.86
Sc1 0.3394 0.7500 0.3418  6 S 2.57-2.74
Sc2 0.6606 0.2500 0.6582  6 S 2.57-2.74
S1 0.0970 0.2500 0.3726  1 Li 2.32
S2 0.2287 0.7500 0.9982  3 Li 2.33-2.40
S3 0.4311 0.7500 0.6697  3 Sc 2.57-2.61, 2 Er 2.72
S4 0.5689 0.2500 0.3303  3 Sc 2.57-2.61, 2 Er 2.72
S5 0.7713 0.2500 0.0018  3 Li 2.33-2.40
S6 0.9030 0.7500 0.6274  1 Li 2.32

Output
space-group type = P2_1/m, No. 11
D(E_F) = 0.45 states/eV/atom
formation energy without anion corrections = -1747 meV per atom


No. 6
Density functional theory data (PBE) for a relaxed structure of AcTiBi2.

a b c (Å): 4.6330 4.6330 28.8505
angles (deg): 90.00 90.00 120.00
Last column: nearest neighbours and their distance in Å.
Sites, in units of the cell vectors:
Ac1 0.0000 0.0000 0.0000  6 Bi 3.41
Ac2 0.3333 0.6667 0.6667  6 Bi 3.41
Ac3 0.6667 0.3333 0.3333  6 Bi 3.41
Ti1 0.0000 0.0000 0.5000  2 Bi 2.70
Ti2 0.3333 0.6667 0.1667  2 Bi 2.70
Ti3 0.6667 0.3333 0.8333  2 Bi 2.70
Bi1 0.0000 0.0000 0.4065  1 Ti 2.70
Bi2 0.0000 0.0000 0.5935  1 Ti 2.70
Bi3 0.3333 0.6667 0.0732  1 Ti 2.70
Bi4 0.3333 0.6667 0.2601  1 Ti 2.70
Bi5 0.6667 0.3333 0.7399  1 Ti 2.70
Bi6 0.6667 0.3333 0.9268  1 Ti 2.70

Output
excess energy over the best structure of this formula in the dataset = 66.7 kJ per mole of atoms
space-group type = R-3m, No. 166
D(E_F) = 1.44 states/eV/atom
energy of formation from the pure elements = 40.66 kJ/mol of atoms


No. 7
Density functional theory data (PBE) for a relaxed structure of Pr6YHg5.

a b c (Å): 9.5659 9.5659 9.5659
angles (deg): 147.09 131.28 60.05
Last column: nearest neighbours and their distance in Å.
Sites, in units of the cell vectors:
Pr1 0.0715 0.3274 0.7441  7 Hg 3.31-3.54, 1 Y 3.50
Pr2 0.2270 0.0000 0.2270  6 Hg 3.25-3.33, 2 Y 3.46, 1 Pr 3.58
Pr3 0.4168 0.6726 0.7441  7 Hg 3.31-3.54, 1 Y 3.50
Pr4 0.5832 0.3274 0.2559  7 Hg 3.31-3.54, 1 Y 3.50
Pr5 0.7730 0.0000 0.7730  6 Hg 3.25-3.33, 2 Y 3.46, 1 Pr 3.58
Pr6 0.9285 0.6726 0.2559  7 Hg 3.31-3.54, 1 Y 3.50
Y1 0.5000 0.5000 0.0000  8 Pr 3.46-3.50, 4 Hg 3.65
Hg1 0.0000 0.5000 0.5000  8 Pr 3.25-3.45
Hg2 0.1693 0.1693 0.0000  8 Pr 3.31-3.33
Hg3 0.3522 0.8522 0.5000  8 Pr 3.26-3.54, 2 Y 3.65
Hg4 0.6478 0.1478 0.5000  8 Pr 3.26-3.54, 2 Y 3.65
Hg5 0.8307 0.8307 0.0000  8 Pr 3.31-3.33

Output
space-group type = Immm, No. 71
D(E_F) = 1.34 states/eV/atom
energy of formation from the pure elements = -33.82 kJ/mol of atoms


No. 8
Density functional theory data (PBE) for a relaxed structure of ErTmTl.

a b c (Å): 3.5238 3.5238 13.6157
angles (deg): 90.00 90.00 90.00
Last column: nearest neighbours and their distance in Å.
Sites, in units of the cell vectors:
Er1 0.0000 0.0000 0.0000  4 Tl 3.31, 4 Tm 3.50, 4 Er 3.52
Er2 0.5000 0.5000 0.5000  4 Tl 3.31, 4 Tm 3.50, 4 Er 3.52
Tm1 0.0000 0.0000 0.3194  4 Tl 3.30, 4 Er 3.50, 4 Tm 3.52
Tm2 0.5000 0.5000 0.8194  4 Tl 3.30, 4 Er 3.50, 4 Tm 3.52
Tl1 0.0000 0.0000 0.6603  4 Tm 3.30, 4 Er 3.31, 4 Tl 3.52
Tl2 0.5000 0.5000 0.1603  4 Tm 3.30, 4 Er 3.31, 4 Tl 3.52

Output
excess energy over the best structure of this formula in the dataset = 1.7 kJ per mole of atoms
space-group type = I4mm, No. 107
D(E_F) = 1.07 states/eV/atom
energy of formation from the pure elements = -21.81 kJ/mol of atoms


Question: Look up the D(E_F) of the first one.
Answer: 0.79 states/eV/atom